1.
## BePdCl2 (GGA-PBEsol)

Data for crystalline BePdCl2 at its relaxed geometry.

POSCAR file:
```
BePdCl2
1.0
1.5700 0.9065 7.2412
-1.5700 0.9065 7.2412
0.0000 -1.8129 7.2412
Be Pd Cl
1 1 2
Direct
0.0000 0.0000 0.0000
0.5000 0.5000 0.5000
0.3918 0.3918 0.3918
0.6082 0.6082 0.6082
```

Computed properties:
SG: No. 166
Formation energy without anion corrections, eV/atom: -0.445

2.
## Be2ZnPtCl (GGA-PBEsol)

Data for crystalline Be2ZnPtCl at its relaxed geometry.

POSCAR file:
```
Be2ZnPtCl
1.0
3.9292 0.0000 0.0000
0.0000 3.9292 0.0000
0.0000 0.0000 4.8022
Be Zn Pt Cl
2 1 1 1
Direct
0.0000 0.5000 0.0000
0.5000 0.0000 0.0000
0.0000 0.0000 0.5000
0.5000 0.5000 0.5000
0.5000 0.5000 0.0000
```

Computed properties:
SG: No. 123
Formation energy without anion corrections, eV/atom: 0.918